# CsCuNiH6

A relaxed structure of CsCuNiH6 (PBE, Alexandria).

Structure (POSCAR):
```
CsCuNiH6
1.0
4.563 0.000 0.000
-2.281 3.952 0.000
0.000 0.000 6.178
Cs Cu Ni H
1 1 1 6
Cartesian
0.000 0.000 0.000
0.000 2.634 3.089
2.281 1.317 3.089
1.810 0.114 3.966
1.004 1.511 2.212
2.753 0.114 2.212
1.475 2.327 3.966
3.559 1.511 3.966
3.088 2.327 2.212
```

theoretical density	3.89	g/cm3
magnetization	0.0000	μB/atom
final energy	-3.4970	eV per atom
space-group type	P312 (149)